An optimized crystal structure of HoCo2BP. Source: OQMD via LeMat-Bulk, functional GGA-PBE.

Values from the calculation:
Total magnetization ... 0.008 μB/atom
Energy ... -6.978 eV per atom
Space-group type ... I4mm, No. 107

Cell lengths 5.3143, 5.3143, 5.3143 Å; angles 139.67, 139.67, 58.36 degrees
Element x y z (fractional)
Ho: 0.0000 0.0000 0.0000
Co: 0.2629 0.7629 0.5000
Co: 0.7629 0.2629 0.5000
B: 0.3734 0.3734 0.0000
P: 0.6273 0.6273 0.0000